1.
Li3Ac2AlCd12: relaxed, GGA-PBE.

* calculated total energy: -1.6616 eV per atom
* magnetic moment: 0.00 μB per formula unit
* SG: R-3m (166)
* calculated formation energy: -1.23 eV per formula unit

abc: 13.035 13.035 13.035
angles: 29.21 29.21 29.21
Element x y z (fractional)
Li 0.000 0.500 0.500
Li 0.500 0.000 0.500
Li 0.500 0.500 0.000
Ac 0.143 0.143 0.143
Ac 0.857 0.857 0.857
Al 0.500 0.500 0.500
Cd 0.098 0.098 0.647
Cd 0.098 0.647 0.098
Cd 0.111 0.609 0.609
Cd 0.353 0.902 0.902
Cd 0.391 0.391 0.889
Cd 0.391 0.889 0.391
Cd 0.609 0.111 0.609
Cd 0.609 0.609 0.111
Cd 0.647 0.098 0.098
Cd 0.889 0.391 0.391
Cd 0.902 0.353 0.902
Cd 0.902 0.902 0.353


2.
LiTmAl2: relaxed, GGA-PBE.

* calculated total energy: -3.7274 eV per atom
* magnetic moment: 0.21 μB per formula unit
* SG: P4/mmm (123)
* calculated formation energy: -1.04 eV per formula unit
* excess energy over the best structure of this formula in the dataset: 0 meV/atom

abc: 3.330 3.330 6.916
angles: 90.00 90.00 90.00
Element x y z (fractional)
Li 0.000 0.000 0.000
Tm 0.000 0.000 0.500
Al 0.500 0.500 0.205
Al 0.500 0.500 0.795


3.
LiPm2Cd5: relaxed, GGA-PBE.

* calculated total energy: -2.1961 eV per atom
* magnetic moment: 0.00 μB per formula unit
* SG: Cmcm (63)
* calculated formation energy: -1.58 eV per formula unit
* excess energy over the best structure of this formula in the dataset: 46 meV/atom

abc: 9.042 9.042 9.917
angles: 90.00 90.00 150.12
Element x y z (fractional)
Li 0.045 0.955 0.750
Li 0.955 0.045 0.250
Pm 0.309 0.691 0.250
Pm 0.500 0.500 0.000
Pm 0.500 0.500 0.500
Pm 0.691 0.309 0.750
Cd 0.104 0.896 0.250
Cd 0.134 0.866 0.536
Cd 0.134 0.866 0.964
Cd 0.304 0.696 0.600
Cd 0.304 0.696 0.900
Cd 0.696 0.304 0.100
Cd 0.696 0.304 0.400
Cd 0.866 0.134 0.036
Cd 0.866 0.134 0.464
Cd 0.896 0.104 0.750


4.
CeHoRe: relaxed, GGA-PBE.

* calculated total energy: -7.5834 eV per atom
* magnetic moment: 0.00 μB per formula unit
* SG: I4mm (107)
* calculated formation energy: 0.21 eV per formula unit

abc: 7.023 7.023 7.023
angles: 151.97 151.97 40.06
Element x y z (fractional)
Ce 0.000 0.000 0.000
Ho 0.744 0.744 0.000
Re 0.377 0.377 0.000


5.
La3Pm3Nd8: relaxed, GGA-PBE.

* calculated total energy: -4.6959 eV per atom
* magnetic moment: 0.00 μB per formula unit
* SG: Immm (71)
* calculated formation energy: 1.43 eV per formula unit

abc: 10.017 10.017 10.017
angles: 146.24 113.34 76.84
Element x y z (fractional)
La 0.000 0.000 0.000
La 0.307 0.000 0.307
La 0.693 0.000 0.693
Pm 0.315 0.815 0.500
Pm 0.500 0.500 0.000
Pm 0.685 0.185 0.500
Nd 0.060 0.397 0.663
Nd 0.063 0.223 0.840
Nd 0.266 0.603 0.663
Nd 0.382 0.223 0.160
Nd 0.618 0.777 0.840
Nd 0.734 0.397 0.337
Nd 0.937 0.777 0.160
Nd 0.940 0.603 0.337


6.
SrAl2Ru: relaxed, GGA-PBE.

* calculated total energy: -4.7834 eV per atom
* magnetic moment: 0.00 μB per formula unit
* SG: Imm2 (44)
* calculated formation energy: -0.69 eV per formula unit

abc: 7.494 7.494 7.494
angles: 155.80 148.87 39.82
Element x y z (fractional)
Sr 0.000 0.000 0.000
Al 0.300 0.800 0.500
Al 0.659 0.659 0.000
Ru 0.798 0.298 0.500


7.
Cs2AuBr: relaxed, GGA-PBE.

* calculated total energy: -2.6973 eV per atom
* magnetic moment: 0.00 μB per formula unit
* formation energy from raw total energies: -1.0330 eV per atom
* SG: P4/mmm (123)
* excess energy over the best structure of this formula in the dataset: 19 meV/atom

abc: 4.370 4.370 8.803
angles: 90.00 90.00 90.00
Element x y z (fractional)
Cs 0.000 0.000 0.247
Cs 0.000 0.000 0.753
Au 0.500 0.500 0.500
Br 0.500 0.500 0.000


8.
Rb2CaPaO4: relaxed, GGA-PBE.

* calculated total energy: -6.6899 eV per atom
* magnetic moment: 0.94 μB per formula unit
* formation energy from raw total energies: -2.5317 eV per atom
* SG: P2/m (10)

abc: 6.166 3.635 6.916
angles: 90.00 107.47 90.00
Element x y z (fractional)
Rb 0.000 0.000 0.000
Rb 0.500 0.500 0.000
Ca 0.000 0.500 0.500
Pa 0.500 0.000 0.500
O 0.250 0.000 0.670
O 0.291 0.500 0.326
O 0.709 0.500 0.674
O 0.750 0.000 0.330


Q: Look up the magnetic moment of the third one.
A: 0.00 μB per formula unit


Copy entry 5 word for word.
La3Pm3Nd8: relaxed, GGA-PBE.

* calculated total energy: -4.6959 eV per atom
* magnetic moment: 0.00 μB per formula unit
* SG: Immm (71)
* calculated formation energy: 1.43 eV per formula unit

abc: 10.017 10.017 10.017
angles: 146.24 113.34 76.84
Element x y z (fractional)
La 0.000 0.000 0.000
La 0.307 0.000 0.307
La 0.693 0.000 0.693
Pm 0.315 0.815 0.500
Pm 0.500 0.500 0.000
Pm 0.685 0.185 0.500
Nd 0.060 0.397 0.663
Nd 0.063 0.223 0.840
Nd 0.266 0.603 0.663
Nd 0.382 0.223 0.160
Nd 0.618 0.777 0.840
Nd 0.734 0.397 0.337
Nd 0.937 0.777 0.160
Nd 0.940 0.603 0.337


Q: What is the formula in the seventh record?
A: Cs2AuBr